Crystalline CoSbS2 at its relaxed geometry, computed with GGA-PBEsol.

Lattice parameters (Å, degrees): 3.8429 3.8429 7.5966 75.35 75.35 60.00
With the nearest neighbours (Å) after each atom.
Sites, in units of the cell vectors:
1 S 0.9043 0.9043 0.2871  1 Co 2.09
2 S 0.0957 0.0957 0.7129  1 Co 2.09
3 Sb 0.5000 0.5000 0.5000  6 S 2.70
4 Co 0.0000 0.0000 0.0000  2 S 2.09

## Properties
The uncorrected formation energy is 0.2500 eV/atom. As for the crystal system: trigonal. The density is 4.38 Mg/m³. As for the space group: R-3m, No. 166.

---

Crystalline CoSb2S at its relaxed geometry, computed with GGA-PBEsol.

Lattice parameters (Å, degrees): 5.8148 5.8148 7.1137 114.12 114.12 90.00
With the nearest neighbours (Å) after each atom.
Sites, in units of the cell vectors:
1 S 0.5000 0.5000 0.0000  4 Sb 2.71
2 Co 0.0000 0.0000 0.0000  4 Sb 2.35
3 Sb 0.3220 0.8750 0.2500  2 Co 2.35
4 Sb 0.9280 0.3750 0.2500  2 Co 2.35
5 S 0.7500 0.2500 0.5000  4 Sb 2.71
6 Sb 0.6250 0.6780 0.7500  2 Co 2.35
7 Sb 0.1250 0.0720 0.7500  2 Co 2.35
8 Co 0.2500 0.7500 0.5000  4 Sb 2.35

## Properties
The uncorrected formation energy is 0.1779 eV/atom. As for the crystal system: tetragonal. The density is 5.66 Mg/m³. As for the space group: I-42d, No. 122.